(1)
VASP calculation (PBE-GGA) on an optimized crystal structure of PaGaRe.

Geometry as CIF:
```
data_PaGaRe
_cell_length_a 3.4473
_cell_length_b 4.5380
_cell_length_c 7.5928
_cell_angle_alpha 90.00
_cell_angle_beta 90.00
_cell_angle_gamma 90.00
_space_group_name_H-M_alt 'A m m 2'
_space_group_IT_number 38
_space_group_name_Hall 'A 2 -2'
loop_
_atom_site_label
_atom_site_fract_x
_atom_site_fract_y
_atom_site_fract_z
Pa1 0.0000 0.0000 0.0000
Ga1 0.5000 0.0000 0.6622
Re1 0.5000 0.0000 0.3217
```

The calculation puts the formation energy at -0.070 eV/atom. The density of states at the Fermi level comes out at 9.5 states/eV per cell.

***

(2)
VASP calculation (PBE-GGA) on an optimized crystal structure of Pr6As3PCl2.

Geometry as CIF:
```
data_Pr6As3PCl2
_cell_length_a 7.4008
_cell_length_b 12.8392
_cell_length_c 7.3275
_cell_angle_alpha 90.00
_cell_angle_beta 109.67
_cell_angle_gamma 90.00
_space_group_name_H-M_alt 'C 1 2/m 1'
_space_group_IT_number 12
_space_group_name_Hall '-C 2y'
loop_
_atom_site_label
_atom_site_fract_x
_atom_site_fract_y
_atom_site_fract_z
Pr1 0.2275 0.0000 0.2394
Pr2 0.2441 0.1571 0.7603
As1 0.0000 0.1714 0.0000
As2 0.0000 0.5000 0.0000
P1 0.0000 0.0000 0.5000
Cl1 0.0000 0.3343 0.5000
```

The calculation puts the uncorrected formation energy at -1822 kJ/mol of formula units. The density of states at the Fermi level comes out at 11.5 states/eV per cell.

***

(3)
VASP calculation (PBE-GGA) on an optimized crystal structure of HoBeB2Ru.

Geometry as CIF:
```
data_HoBeB2Ru
_cell_length_a 3.4717
_cell_length_b 3.4717
_cell_length_c 10.1655
_cell_angle_alpha 90.00
_cell_angle_beta 90.00
_cell_angle_gamma 90.00
_space_group_name_H-M_alt 'I -4 m 2'
_space_group_IT_number 119
_space_group_name_Hall 'I -4 -2'
loop_
_atom_site_label
_atom_site_fract_x
_atom_site_fract_y
_atom_site_fract_z
Ho1 0.0000 0.0000 0.0000
Be1 0.0000 0.5000 0.2500
B1 0.0000 0.0000 0.3684
Ru1 0.0000 0.5000 0.7500
```

The calculation puts the formation energy at -0.340 eV/atom. The density of states at the Fermi level comes out at 7.8 states/eV per cell.

***

(4)
VASP calculation (PBE-GGA) on an optimized crystal structure of HfMnCrMo.

Geometry as CIF:
```
data_HfMnCrMo
_cell_length_a 6.1592
_cell_length_b 6.1592
_cell_length_c 6.1592
_cell_angle_alpha 90.00
_cell_angle_beta 90.00
_cell_angle_gamma 90.00
_space_group_name_H-M_alt 'F -4 3 m'
_space_group_IT_number 216
_space_group_name_Hall 'F -4 2 3'
loop_
_atom_site_label
_atom_site_fract_x
_atom_site_fract_y
_atom_site_fract_z
Hf1 0.0000 0.0000 0.0000
Mn1 0.2500 0.2500 0.2500
Cr1 0.2500 0.2500 0.7500
Mo1 0.0000 0.0000 0.5000
```

The calculation puts the formation energy at 0.005 eV/atom. The density of states at the Fermi level comes out at 15.3 states/eV per cell.

***

(5)
VASP calculation (PBE-GGA) on an optimized crystal structure of LiYFe.

Geometry as CIF:
```
data_LiYFe
_cell_length_a 3.2063
_cell_length_b 3.2063
_cell_length_c 7.1417
_cell_angle_alpha 90.00
_cell_angle_beta 90.00
_cell_angle_gamma 120.00
_space_group_name_H-M_alt 'P 3 m 1'
_space_group_IT_number 156
_space_group_name_Hall 'P 3 -2"'
loop_
_atom_site_label
_atom_site_fract_x
_atom_site_fract_y
_atom_site_fract_z
Li1 0.0000 0.0000 0.0000
Y1 0.6667 0.3333 0.4048
Fe1 0.3333 0.6667 0.7134
```

The calculation puts the formation energy at 0.500 eV/atom. The density of states at the Fermi level comes out at 3.0 states/eV per cell. As for the energy relative to the lowest polymorph listed for this composition: 1.40 eV per formula unit.

***

(6)
VASP calculation (PBE-GGA) on an optimized crystal structure of HfMgTi.

Geometry as CIF:
```
data_HfMgTi
_cell_length_a 3.0101
_cell_length_b 4.7152
_cell_length_c 8.8636
_cell_angle_alpha 90.00
_cell_angle_beta 99.49
_cell_angle_gamma 90.00
_space_group_name_H-M_alt 'P 1 m 1'
_space_group_IT_number 6
_space_group_name_Hall 'P -2y'
loop_
_atom_site_label
_atom_site_fract_x
_atom_site_fract_y
_atom_site_fract_z
Hf1 0.0000 0.0000 0.0000
Hf2 0.2165 0.5000 0.4409
Mg1 0.4041 0.5000 0.8088
Mg2 0.8085 0.0000 0.6320
Ti1 0.5791 0.5000 0.1537
Ti2 0.6383 0.0000 0.2872
```

The calculation puts the formation energy at 0.066 eV/atom. The density of states at the Fermi level comes out at 4.3 states/eV per cell. As for the energy relative to the lowest polymorph listed for this composition: 0.10 eV per formula unit.

***

(7)
VASP calculation (PBE-GGA) on an optimized crystal structure of Sr3Sn7.

Geometry as CIF:
```
data_Sr3Sn7
_cell_length_a 5.7184
_cell_length_b 15.6053
_cell_length_c 8.0104
_cell_angle_alpha 90.00
_cell_angle_beta 90.00
_cell_angle_gamma 90.00
_space_group_name_H-M_alt 'C m m m'
_space_group_IT_number 65
_space_group_name_Hall '-C 2 2'
loop_
_atom_site_label
_atom_site_fract_x
_atom_site_fract_y
_atom_site_fract_z
Sr1 0.0000 0.0000 0.0000
Sr2 0.0000 0.1473 0.5000
Sn1 0.0000 0.3892 0.2059
Sn2 0.0000 0.5000 0.5000
Sn3 0.2500 0.2500 0.0000
```

The calculation puts the formation energy at -0.182 eV/atom. The density of states at the Fermi level comes out at 14.7 states/eV per cell.

***

(8)
VASP calculation (PBE-GGA) on an optimized crystal structure of HgBi2C.

Geometry as CIF:
```
data_HgBi2C
_cell_length_a 6.5922
_cell_length_b 6.5922
_cell_length_c 10.3027
_cell_angle_alpha 90.00
_cell_angle_beta 90.00
_cell_angle_gamma 90.00
_space_group_name_H-M_alt 'I -4 2 d'
_space_group_IT_number 122
_space_group_name_Hall 'I -4 2bw'
loop_
_atom_site_label
_atom_site_fract_x
_atom_site_fract_y
_atom_site_fract_z
Hg1 0.0000 0.0000 0.0000
Bi1 0.1732 0.2500 0.6250
C1 0.0000 0.0000 0.5000
```

The calculation puts the formation energy at 0.894 eV/atom. The density of states at the Fermi level comes out at 5.8 states/eV per cell. As for the energy relative to the lowest polymorph listed for this composition: 0.00 eV per formula unit.

***

(9)
VASP calculation (PBE-GGA) on an optimized crystal structure of Ti2BSbIr.

Geometry as CIF:
```
data_Ti2BSbIr
_cell_length_a 4.8066
_cell_length_b 4.8066
_cell_length_c 4.9018
_cell_angle_alpha 90.00
_cell_angle_beta 90.00
_cell_angle_gamma 90.00
_space_group_name_H-M_alt 'P 4/m m m'
_space_group_IT_number 123
_space_group_name_Hall '-P 4 2'
loop_
_atom_site_label
_atom_site_fract_x
_atom_site_fract_y
_atom_site_fract_z
Ti1 0.0000 0.5000 0.0000
B1 0.0000 0.0000 0.5000
Sb1 0.5000 0.5000 0.5000
Ir1 0.5000 0.5000 0.0000
```

The calculation puts the uncorrected formation energy at 550 kJ/mol of formula units. The density of states at the Fermi level comes out at 4.1 states/eV per cell.

***

(10)
VASP calculation (PBE-GGA) on an optimized crystal structure of Th2Se3.

Geometry as CIF:
```
data_Th2Se3
_cell_length_a 8.1506
_cell_length_b 4.0886
_cell_length_c 16.0182
_cell_angle_alpha 90.00
_cell_angle_beta 90.00
_cell_angle_gamma 90.00
_space_group_name_H-M_alt 'P n m a'
_space_group_IT_number 62
_space_group_name_Hall '-P 2ac 2n'
loop_
_atom_site_label
_atom_site_fract_x
_atom_site_fract_y
_atom_site_fract_z
Th1 0.0720 0.2500 0.2140
Th2 0.2484 0.7500 0.4584
Se1 0.0057 0.2500 0.4000
Se2 0.1163 0.7500 0.0762
Se3 0.1898 0.2500 0.7729
```

The calculation puts the uncorrected formation energy at -819 kJ/mol of formula units. The density of states at the Fermi level comes out at 14.3 states/eV per cell.

***

(11)
VASP calculation (PBE-GGA) on an optimized crystal structure of AcSnPb3.

Geometry as CIF:
```
data_AcSnPb3
_cell_length_a 6.3747
_cell_length_b 17.5893
_cell_length_c 6.4026
_cell_angle_alpha 90.00
_cell_angle_beta 90.00
_cell_angle_gamma 90.00
_space_group_name_H-M_alt 'C m c m'
_space_group_IT_number 63
_space_group_name_Hall '-C 2c 2'
loop_
_atom_site_label
_atom_site_fract_x
_atom_site_fract_y
_atom_site_fract_z
Ac1 0.0000 0.1783 0.2500
Sn1 0.0000 0.4822 0.7500
Pb1 0.0000 0.0000 0.0000
Pb2 0.2462 0.3536 0.2500
```

The calculation puts the formation energy at -0.061 eV/atom. The density of states at the Fermi level comes out at 11.3 states/eV per cell. As for the energy relative to the lowest polymorph listed for this composition: 0.00 eV per formula unit.

***

(12)
VASP calculation (PBE-GGA) on an optimized crystal structure of Ca2IrPb.

Geometry as CIF:
```
data_Ca2IrPb
_cell_length_a 5.0447
_cell_length_b 5.0447
_cell_length_c 7.1240
_cell_angle_alpha 90.00
_cell_angle_beta 90.00
_cell_angle_gamma 90.00
_space_group_name_H-M_alt 'I -4 m 2'
_space_group_IT_number 119
_space_group_name_Hall 'I -4 -2'
loop_
_atom_site_label
_atom_site_fract_x
_atom_site_fract_y
_atom_site_fract_z
Ca1 0.0000 0.0000 0.0000
Ca2 0.0000 0.5000 0.2500
Ir1 0.0000 0.5000 0.7500
Pb1 0.0000 0.0000 0.5000
```

The calculation puts the formation energy at -0.192 eV/atom. The density of states at the Fermi level comes out at 6.8 states/eV per cell.